TlZn8, relaxed, DFT PBE; final energy = -1.2883 eV/atom; ΔE_f = 107 meV per atom; SG = I4/mmm (139)
1.0
3.968 3.657 3.546
-6.100 -0.535 -2.049
-0.311 -4.881 4.216
Zn Tl
8 1
Direct
0.319 0.319 0.639
0.681 0.319 0.000
0.344 0.000 0.344
0.681 0.681 0.361
0.000 0.656 0.656
0.656 0.000 0.656
0.319 0.681 0.000
0.000 0.344 0.344
0.000 0.000 0.000

=====

TlZn, relaxed, DFT PBE; final energy = -1.6245 eV/atom; ΔE_f = 196 meV per atom; SG = R-3m (166)
1.0
-3.253 2.620 2.135
-0.986 0.975 4.481
0.137 3.900 2.603
Zn Tl
1 1
Direct
0.500 0.500 0.500
0.000 0.000 0.000

=====

TlZn3, relaxed, DFT PBE; final energy = -1.3228 eV/atom; ΔE_f = 224 meV per atom; SG = Fm-3m (225)
1.0
4.837 0.000 0.000
2.418 4.189 0.000
2.418 1.396 3.949
Zn Tl
3 1
Direct
0.750 0.750 0.750
0.250 0.250 0.250
0.500 0.500 0.500
0.000 0.000 0.000

=====

TlZn2, relaxed, DFT PBE; final energy = -1.4203 eV/atom; ΔE_f = 218 meV per atom; SG = Pnnm (58)
1.0
-2.226 -1.502 2.265
3.342 -0.876 2.703
-1.115 7.294 3.742
Zn Tl
4 2
Direct
0.002 0.000 0.662
0.998 0.000 0.338
0.502 0.500 0.838
0.498 0.500 0.162
0.000 0.000 0.000
0.500 0.500 0.500

=====

TlZn, relaxed, DFT PBE; final energy = -1.6678 eV/atom; ΔE_f = 152 meV per atom; SG = P-3m1 (164)
1.0
3.408 0.000 0.000
-1.704 2.951 0.000
0.000 0.000 9.640
Zn Tl
2 2
Direct
0.667 0.333 0.717
0.000 0.000 0.533
0.000 0.000 0.965
0.667 0.333 0.285

=====

TlZn3, relaxed, DFT PBE; final energy = -1.3842 eV/atom; ΔE_f = 163 meV per atom; SG = R-3m (166)
1.0
8.895 0.026 0.015
8.294 3.214 0.015
8.294 1.563 2.808
Zn Tl
3 1
Direct
0.762 0.762 0.762
0.238 0.238 0.238
0.500 0.500 0.500
0.000 0.000 0.000

=====

TlZn3, relaxed, DFT PBE; final energy = -1.3489 eV/atom; ΔE_f = 198 meV per atom; SG = P2/m (10)
1.0
4.258 0.000 0.000
0.000 3.271 0.025
0.000 0.791 5.945
Tl Zn
1 3
Direct
0.000 0.000 0.000
0.000 0.500 0.500
0.500 0.731 0.694
0.500 0.269 0.306

=====

Tl4Zn, relaxed, DFT PBE; final energy = -1.9574 eV/atom; ΔE_f = 190 meV per atom; ΔE to the lowest computed polymorph = 118 meV/atom; SG = Pm-3m (221)
1.0
-2.230 -4.170 -2.642
3.610 0.600 -3.994
3.367 -3.405 2.532
Tl Zn
4 1
Direct
0.000 0.000 0.000
0.500 0.000 0.500
0.000 0.500 0.500
0.500 0.500 0.000
0.500 0.500 0.500

=====

Tl4Zn, relaxed, DFT PBE; final energy = -2.0744 eV/atom; ΔE_f = 73 meV per atom; ΔE to the lowest computed polymorph = 1 meV/atom; SG = P-42_1c (114)
1.0
-6.022 -2.518 0.216
2.252 -5.092 3.412
-1.174 3.296 5.693
Tl Zn
8 2
Direct
0.275 0.874 0.649
0.725 0.126 0.649
0.775 0.626 0.851
0.374 0.775 0.149
0.126 0.275 0.351
0.874 0.725 0.351
0.626 0.225 0.149
0.225 0.374 0.851
0.000 0.000 0.000
0.500 0.500 0.500

=====

TlZn, relaxed, DFT PBE; final energy = -1.6923 eV/atom; ΔE_f = 128 meV per atom; SG = P2_12_12_1 (19)
1.0
-2.120 2.342 -4.950
3.287 -3.650 -3.135
-8.234 -7.426 0.013
Zn Tl
8 8
Direct
0.615 0.880 0.236
0.362 0.094 0.082
0.862 0.406 0.918
0.885 0.120 0.736
0.115 0.620 0.764
0.138 0.906 0.582
0.385 0.380 0.264
0.638 0.594 0.418
0.893 0.909 0.996
0.888 0.387 0.187
0.393 0.591 0.004
0.612 0.613 0.687
0.388 0.113 0.813
0.112 0.887 0.313
0.107 0.409 0.504
0.607 0.091 0.496

=====

TlZn2, relaxed, DFT PBE; final energy = -1.4577 eV/atom; ΔE_f = 180 meV per atom; SG = I4_1/amd (141)
1.0
2.645 -7.824 2.639
2.963 -4.119 7.030
-5.502 5.313 -4.083
Tl Zn
2 4
Direct
0.750 0.250 0.500
0.000 0.000 0.000
0.329 0.829 0.500
0.421 0.421 0.000
0.171 0.671 0.500
0.579 0.579 0.000

=====

TlZn, relaxed, DFT PBE; final energy = -1.4252 eV/atom; ΔE_f = 395 meV per atom; SG = P4_2/mnm (136)
1.0
-5.109 -4.453 3.559
5.696 -4.184 2.941
0.138 2.706 3.584
Tl Zn
4 4
Direct
0.737 0.737 0.000
0.237 0.763 0.500
0.763 0.237 0.500
0.263 0.263 0.000
0.117 0.117 0.500
0.617 0.383 0.000
0.383 0.617 0.000
0.883 0.883 0.500

=====

TlZn, relaxed, DFT PBE; final energy = -1.4204 eV/atom; ΔE_f = 400 meV per atom; SG = I-43m (217)
1.0
-2.547 -0.450 7.933
7.755 -1.956 2.379
1.731 8.099 1.015
Zn Tl
8 8
Direct
0.886 0.886 0.114
0.886 0.114 0.886
0.114 0.886 0.886
0.114 0.114 0.114
0.614 0.386 0.386
0.614 0.614 0.614
0.386 0.614 0.386
0.386 0.386 0.614
0.795 0.795 0.795
0.795 0.205 0.205
0.205 0.795 0.205
0.205 0.205 0.795
0.295 0.705 0.705
0.295 0.295 0.295
0.705 0.705 0.295
0.705 0.295 0.705